VASP calculation (PBE) on a relaxed structure of CsSr2Co.

Summary:
ΔH_f (0 K), meV/atom: 555
VASP energy, eV for the cell shown: -18.21

Structure (CIF):
```
data_CsSr2Co
_space_group_name_H-M_alt 'P 1'
_space_group_IT_number 1
_space_group_name_Hall 'P 1'
_cell_length_a 8.604
_cell_length_b 8.604
_cell_length_c 8.604
_cell_angle_alpha 119.99
_cell_angle_beta 119.99
_cell_angle_gamma 90.01
loop_
_atom_site_label
_atom_site_type_symbol
_atom_site_fract_x
_atom_site_fract_y
_atom_site_fract_z
Cs1 Cs 0.000 0.000 0.000
Cs2 Cs 0.750 0.250 0.500
Sr1 Sr 0.372 0.625 0.247
Sr2 Sr 0.375 0.622 0.747
Sr3 Sr 0.378 0.125 0.753
Sr4 Sr 0.875 0.628 0.253
Co1 Co 0.250 0.750 0.500
Co2 Co 0.500 0.500 0.000
```